# 1
The following is a PBE calculation of a relaxed BaLaRe4 crystal, from the Alexandria database.

Its total energy is -213.55 eV per cell. For the formation energy, the calculation gives 3.26 eV per formula unit. The value obtained for the total moment is 0.0 μB per formula unit.

The structure belongs to space group F-43m (No. 216); the cell edges are 7.9134, 7.9134 and 7.9134 Å and the angles 90.00°, 90.00° and 90.00°. The distinct sites, in fractional coordinates, are Ba at (0.0000, 0.0000, 0.0000), La at (0.2500, 0.2500, 0.7500) and Re at (0.1247, 0.1247, 0.3753).

# 2
The following is a PBE calculation of a relaxed LiNpBr crystal, from the Alexandria database.

Its total energy is -35.81 eV per cell. The formation energy (no corrections) comes out at -133 kJ/mol of formula units. The value obtained for the total moment is 2.1 μB per formula unit.

The structure belongs to space group P4/nmm (No. 129, origin choice 2); the cell edges are 3.5743, 3.5743 and 11.7341 Å and the angles 90.00°, 90.00° and 90.00°. The distinct sites, in fractional coordinates, are Li at (0.2500, 0.2500, 0.0960), Np at (0.2500, 0.7500, 0.5000) and Br at (0.2500, 0.2500, 0.8681).

# 3
The following is a PBE calculation of a relaxed ReOsSeN2 crystal, from the Alexandria database.

For the energy above the most stable polymorph in this dataset, the calculation gives 81 meV/atom. Its total energy is -37.06 eV per cell. The formation energy (no corrections) comes out at 652 kJ/mol of formula units. The value obtained for the total moment is 3.9 μB per formula unit.

The structure belongs to space group P4/mmm (No. 123); the cell edges are 3.7851, 3.7851 and 5.5985 Å and the angles 90.00°, 90.00° and 90.00°. The distinct sites, in fractional coordinates, are Re at (0.0000, 0.0000, 0.0000), Os at (0.5000, 0.5000, 0.5000), Se at (0.5000, 0.5000, 0.0000) and N at (0.0000, 0.5000, 0.5000).

# 4
The following is a PBE calculation of a relaxed Ba8GeAu3Br4 crystal, from the Alexandria database.

Its total energy is -165.83 eV per cell. The formation energy (no corrections) comes out at -1810 kJ/mol of formula units. The value obtained for the total moment is 0.0 μB per formula unit.

The structure belongs to space group R-3m (No. 166, hexagonal axes); the cell edges are 9.4421, 9.4421 and 25.1625 Å and the angles 90.00°, 90.00° and 120.00°. The distinct sites, in fractional coordinates, are Ba at (0.0000, 0.0000, 0.2414), Ba at (0.0026, 0.5013, 0.2411), Ge at (0.0000, 0.0000, 0.5000), Au at (0.0000, 0.5000, 0.5000), Br at (0.0000, 0.0000, 0.0000) and Br at (0.0000, 0.5000, 0.0000).

# 5
The following is a PBE calculation of a relaxed Nd3WN4 crystal, from the Alexandria database.

Its total energy is -137.17 eV per cell. The formation energy (no corrections) comes out at -775 kJ/mol of formula units. The value obtained for the total moment is 0.0 μB per formula unit.

The structure belongs to space group Pmn2_1 (No. 31); the cell edges are 7.8406, 6.9571 and 5.3104 Å and the angles 90.00°, 90.00° and 90.00°. The distinct sites, in fractional coordinates, are Nd at (0.0000, 0.1537, 0.0000), Nd at (0.2427, 0.3427, 0.5071), W at (0.0000, 0.8284, 0.4430), N at (0.0000, 0.1079, 0.4947), N at (0.0000, 0.8257, 0.0841) and N at (0.2146, 0.7016, 0.5050).

# 6
The following is a PBE calculation of a relaxed CaW4Se8 crystal, from the Alexandria database.

Its total energy is -259.99 eV per cell. The formation energy (no corrections) comes out at -480 kJ/mol of formula units. The value obtained for the total moment is 0.0 μB per formula unit.

The structure belongs to space group R-3m (No. 166, hexagonal axes); the cell edges are 6.6752, 6.6752 and 23.7077 Å and the angles 90.00°, 90.00° and 120.00°. The distinct sites, in fractional coordinates, are Ca at (0.0000, 0.0000, 0.0000), W at (0.0000, 0.0000, 0.5000), W at (0.0000, 0.5000, 0.5000), Se at (0.0000, 0.0000, 0.2389) and Se at (0.0022, 0.5011, 0.2393).

Q: What is the formula in the third record?
A: ReOsSeN2